Entry from Alexandria: a relaxed La6Bi3Ru crystal (PBE).

Calculated values
SG: Cmc2_1, No. 36
total magnetization: 2.21 μB/f.u.
formation enthalpy at 0 K: -0.525 eV/atom
crystal system: orthorhombic

Cell lengths 9.834, 9.834, 7.864 Å; angles 90.00, 90.00, 101.63 degrees
Fractional positions:
La 0.008 0.992 0.500
La 0.096 0.605 0.592
La 0.236 0.764 0.051
La 0.309 0.372 0.063
La 0.372 0.309 0.563
La 0.395 0.904 0.592
La 0.605 0.096 0.092
La 0.628 0.691 0.063
La 0.691 0.628 0.563
La 0.764 0.236 0.551
La 0.904 0.395 0.092
La 0.992 0.008 0.000
Bi 0.072 0.291 0.759
Bi 0.291 0.072 0.259
Bi 0.386 0.614 0.366
Bi 0.614 0.386 0.866
Bi 0.709 0.928 0.759
Bi 0.928 0.709 0.259
Ru 0.150 0.850 0.748
Ru 0.850 0.150 0.248